[1]
## NdEuAgSn (GGA-PBE)

Data for crystalline NdEuAgSn at its relaxed geometry.

Cell lengths 7.6926, 7.6926, 7.6926 Å; angles 90.00, 90.00, 90.00 degrees
Atoms (fractional coordinates):
Nd: 0.0000 0.0000 0.0000
Nd: 0.0000 0.5000 0.5000
Nd: 0.5000 0.0000 0.5000
Nd: 0.5000 0.5000 0.0000
Eu: 0.0000 0.0000 0.5000
Eu: 0.0000 0.5000 0.0000
Eu: 0.5000 0.0000 0.0000
Eu: 0.5000 0.5000 0.5000
Ag: 0.2500 0.2500 0.2500
Ag: 0.2500 0.7500 0.7500
Ag: 0.7500 0.2500 0.7500
Ag: 0.7500 0.7500 0.2500
Sn: 0.2500 0.2500 0.7500
Sn: 0.2500 0.7500 0.2500
Sn: 0.7500 0.2500 0.2500
Sn: 0.7500 0.7500 0.7500

Results
Total moment in μB/f.u.: 7.28
Volume in Å³/f.u.: 113.8
Formation energy in eV per atom: -0.5328
E in eV per formula unit: -24.028



[2]
## NdEuTlAg (GGA-PBE)

Data for crystalline NdEuTlAg at its relaxed geometry.

Cell lengths 7.7264, 7.7264, 7.7264 Å; angles 90.00, 90.00, 90.00 degrees
Atoms (fractional coordinates):
Nd: 0.0000 0.0000 0.0000
Nd: 0.0000 0.5000 0.5000
Nd: 0.5000 0.0000 0.5000
Nd: 0.5000 0.5000 0.0000
Eu: 0.0000 0.0000 0.5000
Eu: 0.0000 0.5000 0.0000
Eu: 0.5000 0.0000 0.0000
Eu: 0.5000 0.5000 0.5000
Tl: 0.2500 0.2500 0.7500
Tl: 0.2500 0.7500 0.2500
Tl: 0.7500 0.2500 0.2500
Tl: 0.7500 0.7500 0.7500
Ag: 0.2500 0.2500 0.2500
Ag: 0.2500 0.7500 0.7500
Ag: 0.7500 0.2500 0.7500
Ag: 0.7500 0.7500 0.2500

Results
Total moment in μB/f.u.: 7.01
Volume in Å³/f.u.: 115.3
Formation energy in eV per atom: -0.3246
E in eV per formula unit: -21.558



[3]
## Eu2NiAg (GGA-PBE)

Data for crystalline Eu2NiAg at its relaxed geometry.

Cell lengths 7.3319, 7.3319, 7.3319 Å; angles 90.00, 90.00, 90.00 degrees
Atoms (fractional coordinates):
Eu: 0.2500 0.2500 0.2500
Eu: 0.2500 0.2500 0.7500
Eu: 0.2500 0.7500 0.2500
Eu: 0.2500 0.7500 0.7500
Eu: 0.7500 0.2500 0.2500
Eu: 0.7500 0.2500 0.7500
Eu: 0.7500 0.7500 0.2500
Eu: 0.7500 0.7500 0.7500
Ni: 0.0000 0.0000 0.0000
Ni: 0.0000 0.5000 0.5000
Ni: 0.5000 0.0000 0.5000
Ni: 0.5000 0.5000 0.0000
Ag: 0.0000 0.0000 0.5000
Ag: 0.0000 0.5000 0.0000
Ag: 0.5000 0.0000 0.0000
Ag: 0.5000 0.5000 0.5000

Results
Total moment in μB/f.u.: 14.30
Volume in Å³/f.u.: 98.5
Formation energy in eV per atom: -0.1278
E in eV per formula unit: -29.692



[4]
## Eu2NiAg (GGA-PBE)

Data for crystalline Eu2NiAg at its relaxed geometry.

Cell lengths 3.5800, 3.5800, 7.6278 Å; angles 90.00, 90.00, 90.00 degrees
Atoms (fractional coordinates):
Eu: 0.0000 0.0000 0.2241
Eu: 0.0000 0.0000 0.7759
Ni: 0.5000 0.5000 0.0000
Ag: 0.5000 0.5000 0.5000

Results
Total moment in μB/f.u.: 14.22
Volume in Å³/f.u.: 97.8
Formation energy in eV per atom: -0.1646
E in eV per formula unit: -29.840



[5]
## Eu3NiAg (GGA-PBE)

Data for crystalline Eu3NiAg at its relaxed geometry.

Cell lengths 5.4685, 5.4685, 5.4685 Å; angles 90.00, 90.00, 90.00 degrees
Atoms (fractional coordinates):
Eu: 0.0000 0.0000 0.5000
Eu: 0.0000 0.5000 0.0000
Eu: 0.5000 0.0000 0.0000
Ni: 0.0000 0.0000 0.0000
Ag: 0.5000 0.5000 0.5000

Results
Total moment in μB/f.u.: 21.41
Volume in Å³/f.u.: 163.5
Formation energy in eV per atom: -0.0244
E in eV per formula unit: -39.578



[6]
## PmEuNiAg (GGA-PBE)

Data for crystalline PmEuNiAg at its relaxed geometry.

Cell lengths 7.2561, 7.2561, 7.2561 Å; angles 90.00, 90.00, 90.00 degrees
Atoms (fractional coordinates):
Pm: 0.0000 0.0000 0.0000
Pm: 0.0000 0.5000 0.5000
Pm: 0.5000 0.0000 0.5000
Pm: 0.5000 0.5000 0.0000
Eu: 0.0000 0.0000 0.5000
Eu: 0.0000 0.5000 0.0000
Eu: 0.5000 0.0000 0.0000
Eu: 0.5000 0.5000 0.5000
Ni: 0.2500 0.2500 0.2500
Ni: 0.2500 0.7500 0.7500
Ni: 0.7500 0.2500 0.7500
Ni: 0.7500 0.7500 0.2500
Ag: 0.2500 0.2500 0.7500
Ag: 0.2500 0.7500 0.2500
Ag: 0.7500 0.2500 0.2500
Ag: 0.7500 0.7500 0.7500

Results
Total moment in μB/f.u.: 7.09
Volume in Å³/f.u.: 95.5
Formation energy in eV per atom: -0.1631
E in eV per formula unit: -24.310



[7]
## PrEuNiAg (GGA-PBE)

Data for crystalline PrEuNiAg at its relaxed geometry.

Cell lengths 7.3134, 7.3134, 7.3134 Å; angles 90.00, 90.00, 90.00 degrees
Atoms (fractional coordinates):
Pr: 0.0000 0.0000 0.0000
Pr: 0.0000 0.5000 0.5000
Pr: 0.5000 0.0000 0.5000
Pr: 0.5000 0.5000 0.0000
Eu: 0.0000 0.0000 0.5000
Eu: 0.0000 0.5000 0.0000
Eu: 0.5000 0.0000 0.0000
Eu: 0.5000 0.5000 0.5000
Ni: 0.2500 0.2500 0.7500
Ni: 0.2500 0.7500 0.2500
Ni: 0.7500 0.2500 0.2500
Ni: 0.7500 0.7500 0.7500
Ag: 0.2500 0.2500 0.2500
Ag: 0.2500 0.7500 0.7500
Ag: 0.7500 0.2500 0.7500
Ag: 0.7500 0.7500 0.2500

Results
Total moment in μB/f.u.: 7.11
Volume in Å³/f.u.: 97.8
Formation energy in eV per atom: -0.1536
E in eV per formula unit: -24.301



[8]
## SrEuNiAg (GGA-PBE)

Data for crystalline SrEuNiAg at its relaxed geometry.

Cell lengths 7.4570, 7.4570, 7.4570 Å; angles 90.00, 90.00, 90.00 degrees
Atoms (fractional coordinates):
Sr: 0.0000 0.0000 0.0000
Sr: 0.0000 0.5000 0.5000
Sr: 0.5000 0.0000 0.5000
Sr: 0.5000 0.5000 0.0000
Eu: 0.0000 0.0000 0.5000
Eu: 0.0000 0.5000 0.0000
Eu: 0.5000 0.0000 0.0000
Eu: 0.5000 0.5000 0.5000
Ni: 0.2500 0.2500 0.2500
Ni: 0.2500 0.7500 0.7500
Ni: 0.7500 0.2500 0.7500
Ni: 0.7500 0.7500 0.2500
Ag: 0.2500 0.2500 0.7500
Ag: 0.2500 0.7500 0.2500
Ag: 0.7500 0.2500 0.2500
Ag: 0.7500 0.7500 0.7500

Results
Total moment in μB/f.u.: 7.29
Volume in Å³/f.u.: 103.7
Formation energy in eV per atom: -0.0653
E in eV per formula unit: -20.850